A plane-wave DFT calculation with PBE was carried out for an optimized crystal structure of CeMn2H8.

Output
**Energy relative to the lowest polymorph listed for this composition**: 0 meV per atom

Cell: 5.0716 8.0491 3.7052 Å, 90.00 91.38 90.00°
Space group C2/m (No. 12)
One atom of each set of equivalent atoms:
Ce 0.0000 0.0000 0.0000 [2 per cell]
Mn 0.0000 0.3219 0.5000 [4 per cell]
H 0.0000 0.2997 0.0000 [4 per cell]
H 0.0316 0.5000 0.7386 [4 per cell]
H 0.1756 0.1432 0.5085 [8 per cell]